No. 1
Here is crystalline SrSb2Os at its relaxed geometry from the Alexandria database. Energies are from PBE.

a b c (Å): 7.2306 7.2306 7.2306
angles (deg): 90.00 90.00 90.00
Closest atoms and distances in Å follow each position.
Space group F-43m (No. 216)
Unique sites:
Sr: 0.0000 0.0000 0.0000 x4  4 Sb 3.13, 4 Os 3.13
Sb: 0.0000 0.0000 0.5000 x4  4 Os 3.13, 4 Sb 3.13
Sb: 0.2500 0.2500 0.2500 x4  4 Sb 3.13, 4 Sr 3.13
Os: 0.2500 0.2500 0.7500 x4  4 Sb 3.13, 4 Sr 3.13

Computed properties:
For the uncorrected energy, the calculation gives -4.76 eV per atom. The total magnetization is 0.00 μB per cell. The value obtained for the energy relative to the elements, uncorrected is 0.528 eV/atom.

=====

No. 2
Here is crystalline BeHg at its relaxed geometry from the Alexandria database. Energies are from PBE.

a b c (Å): 8.6068 8.6068 4.4763
angles (deg): 90.00 90.00 90.00
Closest atoms and distances in Å follow each position.
Space group I4/mcm (No. 140)
Unique sites:
Be: 0.0935 0.4065 0.0000 x8  1 Be 2.28, 4 Hg 2.49
Hg: 0.1823 0.3177 0.5000 x8  5 Be 2.49-2.73, 2 Hg 2.78

Computed properties:
For the uncorrected energy, the calculation gives -1.63 eV per atom. The total magnetization is 0.00 μB per cell. The calculation puts the formation energy from the elements at 0.379 eV/atom.

=====

No. 3
Here is crystalline SmGdBiPb at its relaxed geometry from the Alexandria database. Energies are from PBE.

a b c (Å): 7.8476 7.8476 7.8476
angles (deg): 90.00 90.00 90.00
Closest atoms and distances in Å follow each position.
Space group F-43m (No. 216)
Unique sites:
Sm: 0.0000 0.0000 0.0000 x4  4 Pb 3.40, 4 Bi 3.40
Gd: 0.0000 0.0000 0.5000 x4  4 Bi 3.40, 4 Pb 3.40
Bi: 0.2500 0.2500 0.7500 x4  4 Gd 3.40, 4 Sm 3.40
Pb: 0.2500 0.2500 0.2500 x4  4 Gd 3.40, 4 Sm 3.40

Computed properties:
For the uncorrected energy, the calculation gives -7.12 eV per atom. The total magnetization is 29.92 μB per cell. The calculation puts the formation energy from the elements at -0.521 eV/atom.

=====

No. 4
Here is crystalline KAuCl2 at its relaxed geometry from the Alexandria database. Energies are from PBE.

a b c (Å): 5.0197 5.0197 21.8201
angles (deg): 90.00 90.00 120.00
Closest atoms and distances in Å follow each position.
Space group R-3m (No. 166, hexagonal axes)
Unique sites:
K: 0.0000 0.0000 0.0000 x3  6 Cl 3.20
Au: 0.0000 0.0000 0.5000 x3  2 Cl 2.29
Cl: 0.0000 0.0000 0.3950 x6  1 Au 2.29

Computed properties:
For the uncorrected energy, the calculation gives -3.13 eV per atom. The total magnetization is 0.00 μB per cell. The value obtained for the energy relative to the elements, uncorrected is -1.110 eV/atom.

=====

No. 5
Here is crystalline CaAc2PaAs4 at its relaxed geometry from the Alexandria database. Energies are from PBE.

a b c (Å): 7.4907 4.3627 7.5436
angles (deg): 90.00 109.33 90.00
Closest atoms and distances in Å follow each position.
Space group P2/m (No. 10)
Unique sites:
Ca: 0.0000 0.0000 0.0000 x1  6 As 3.01-3.03
Ac: 0.0000 0.5000 0.5000 x1  6 As 3.23-3.26
Ac: 0.5000 0.0000 0.5000 x1  6 As 3.13-3.14
Pa: 0.5000 0.5000 0.0000 x1  6 As 2.88-2.94
As: 0.2573 0.5000 0.2261 x2  1 Pa 2.88, 2 Ca 3.03, 2 Ac 3.14
As: 0.2687 0.0000 0.7785 x2  2 Pa 2.94, 1 Ca 3.01, 3 Ac 3.13-3.23

Computed properties:
For the uncorrected energy, the calculation gives -6.08 eV per atom. The total magnetization is 0.00 μB per cell. The calculation puts the formation energy from the elements at -1.286 eV/atom.

=====

No. 6
Here is crystalline BeTcCl2 at its relaxed geometry from the Alexandria database. Energies are from PBE.

a b c (Å): 3.0524 3.0524 22.0559
angles (deg): 90.00 90.00 120.00
Closest atoms and distances in Å follow each position.
Space group R-3m (No. 166, hexagonal axes)
Unique sites:
Be: 0.0000 0.0000 0.0000 x3  6 Cl 2.19
Tc: 0.0000 0.0000 0.5000 x3  2 Cl 2.38
Cl: 0.0000 0.0000 0.3923 x6  3 Be 2.19, 1 Tc 2.38

Computed properties:
For the uncorrected energy, the calculation gives -4.37 eV per atom. The total magnetization is 2.17 μB per cell. The value obtained for the energy relative to the elements, uncorrected is 0.080 eV/atom.

=====

Among the records above, which one has the highest uncorrected energy? BeHg